[1]
DFT (PBE) results for a relaxed structure of ZrSbIr2.

Unit cell a=4.031 b=4.031 c=8.727 alpha=90.00 beta=90.00 gamma=90.00
Fractional coordinates of all 8 atoms:
1 Zr 0.000 0.000 0.000
2 Zr 0.500 0.500 0.500
3 Sb 0.000 0.500 0.250
4 Sb 0.500 0.000 0.750
5 Ir 0.000 0.000 0.500
6 Ir 0.000 0.500 0.750
7 Ir 0.500 0.000 0.250
8 Ir 0.500 0.500 0.000

Calculated volume in Å³ per atom: 17.72
Total energy in eV for the cell shown: -63.77
Symmetry: No. 119
ΔE_f (raw) in meV per atom: -373


[2]
DFT (PBE) results for a relaxed structure of ZrSb4Ir.

Unit cell a=5.946 b=5.946 c=5.946 alpha=60.00 beta=60.00 gamma=60.00
Fractional coordinates of all 6 atoms:
1 Zr 0.000 0.000 0.000
2 Sb 0.375 0.375 0.375
3 Sb 0.375 0.375 0.874
4 Sb 0.375 0.874 0.375
5 Sb 0.874 0.375 0.375
6 Ir 0.750 0.750 0.750

Calculated volume in Å³ per atom: 24.77
Total energy in eV for the cell shown: -29.38
Symmetry: No. 216
ΔE_f (raw) in meV per atom: 753


The highest total energy belongs to which entry? ZrSb4Ir


Look up the ΔE_f (raw) of the second one. 753 meV per atom


Repeat the first record exactly.
DFT (PBE) results for a relaxed structure of ZrSbIr2.

Unit cell a=4.031 b=4.031 c=8.727 alpha=90.00 beta=90.00 gamma=90.00
Fractional coordinates of all 8 atoms:
1 Zr 0.000 0.000 0.000
2 Zr 0.500 0.500 0.500
3 Sb 0.000 0.500 0.250
4 Sb 0.500 0.000 0.750
5 Ir 0.000 0.000 0.500
6 Ir 0.000 0.500 0.750
7 Ir 0.500 0.000 0.250
8 Ir 0.500 0.500 0.000

Calculated volume in Å³ per atom: 17.72
Total energy in eV for the cell shown: -63.77
Symmetry: No. 119
ΔE_f (raw) in meV per atom: -373